Entry 1:
# Er6ThSc2

A relaxed Er6ThSc2 crystal (PBE-GGA, Alexandria via LeMat-Bulk).

E above lowest polymorph in eV/f.u.: 3.228
Formation enthalpy at 0 K in eV per atom: 0.49
Total DFT energy (no corrections) in eV per atom: -4.783
D(E_F) in states/eV/cell: 13.1

a = 6.6724 Å, b = 6.6724 Å, c = 8.6626 Å
α = 67.35°, β = 67.35°, γ = 60.00°
Closest atoms and distances in Å follow each position.
Element x y z (fractional)
Sc: 0.5790 0.5790 0.2630  9 Er 3.27-3.61, 1 Sc 3.65
Er: 0.2643 0.7712 0.6601  1 Th 3.17, 6 Er 3.24-3.43, 1 Sc 3.36
Er: 0.3044 0.2643 0.6601  1 Th 3.17, 6 Er 3.24-3.43, 1 Sc 3.36
Er: 0.0724 0.5603 0.3262  6 Er 3.24-3.36, 1 Th 3.26, 2 Sc 3.27-3.48
Er: 0.0412 0.0724 0.3262  6 Er 3.24-3.36, 1 Th 3.26, 2 Sc 3.27-3.48
Er: 0.7712 0.3044 0.6601  1 Th 3.17, 6 Er 3.24-3.43, 1 Sc 3.36
Sc: 0.7358 0.7358 0.7925  6 Er 3.36-3.62, 1 Sc 3.65
Th: 0.3371 0.3371 0.9887  6 Er 3.17-3.26
Er: 0.5603 0.0412 0.3262  6 Er 3.24-3.36, 1 Th 3.26, 2 Sc 3.27-3.48


Entry 2:
# Pm12CoRh6

A relaxed Pm12CoRh6 crystal (PBE-GGA, Alexandria via LeMat-Bulk).

Formation enthalpy at 0 K in eV per atom: -0.47
Total DFT energy (no corrections) in eV per atom: -6.169
D(E_F) in states/eV/cell: 9.3

a = 8.2606 Å, b = 8.2606 Å, c = 8.2606 Å
α = 99.36°, β = 99.36°, γ = 99.36°
Closest atoms and distances in Å follow each position.
Element x y z (fractional)
Rh: 0.6185 0.3080 0.1329  6 Pm 2.78-3.05
Pm: 0.5817 0.1770 0.4170  4 Rh 2.78-3.05
Pm: 0.4183 0.8230 0.5830  4 Rh 2.78-3.05
Rh: 0.1329 0.6185 0.3080  6 Pm 2.78-3.05
Pm: 0.1770 0.4170 0.5817  4 Rh 2.78-3.05
Rh: 0.3080 0.1329 0.6185  6 Pm 2.78-3.05
Pm: 0.9215 0.0411 0.6819  1 Co 2.69, 2 Rh 2.87-2.91
Pm: 0.8230 0.5830 0.4183  4 Rh 2.78-3.05
Pm: 0.4170 0.5817 0.1770  4 Rh 2.78-3.05
Pm: 0.9589 0.3181 0.0785  1 Co 2.69, 2 Rh 2.87-2.91
Rh: 0.6920 0.8671 0.3815  6 Pm 2.78-3.05
Pm: 0.0411 0.6819 0.9215  1 Co 2.69, 2 Rh 2.87-2.91
Rh: 0.3815 0.6920 0.8671  6 Pm 2.78-3.05
Pm: 0.6819 0.9215 0.0411  1 Co 2.69, 2 Rh 2.87-2.91
Co: 0.0000 0.0000 0.0000  6 Pm 2.69
Pm: 0.5830 0.4183 0.8230  4 Rh 2.78-3.05
Pm: 0.3181 0.0785 0.9589  1 Co 2.69, 2 Rh 2.87-2.91
Pm: 0.0785 0.9589 0.3181  1 Co 2.69, 2 Rh 2.87-2.91
Rh: 0.8671 0.3815 0.6920  6 Pm 2.78-3.05


Entry 3:
# PuGa9Ir2

A relaxed PuGa9Ir2 crystal (PBE-GGA, Alexandria via LeMat-Bulk).

Formation enthalpy at 0 K in eV per atom: -0.27
Total DFT energy (no corrections) in eV per atom: -5.209
D(E_F) in states/eV/cell: 19.0

a = 7.5543 Å, b = 8.3059 Å, c = 8.3060 Å
α = 78.07°, β = 62.95°, γ = 62.95°
Closest atoms and distances in Å follow each position.
Element x y z (fractional)
Ga: 0.0737 0.3256 0.9149  4 Ga 2.52-2.77, 2 Ir 2.59-2.76
Ga: 0.0114 0.6744 0.9149  4 Ga 2.52-2.77, 2 Ir 2.59-2.76
Ga: 0.6763 0.5851 0.1744  4 Ga 2.52-2.77, 2 Ir 2.59-2.76
Ga: 0.3142 0.6744 0.0851  4 Ga 2.52-2.77, 2 Ir 2.59-2.76
Ga: 0.0114 0.9149 0.6744  4 Ga 2.52-2.77, 2 Ir 2.59-2.76
Ga: 0.1494 0.4149 0.1744  4 Ga 2.52-2.77, 2 Ir 2.59-2.76
Ga: 0.4358 0.8256 0.4149  4 Ga 2.52-2.77, 2 Ir 2.59-2.76
Ga: 0.6006 0.3256 0.0851  4 Ga 2.52-2.77, 2 Ir 2.59-2.76
Ga: 0.7500 0.5000 0.5000  4 Ir 2.78, 8 Ga 2.89
Pu: 0.5000 0.0000 0.0000  16 Ga 3.36-3.40
Ga: 0.1494 0.1744 0.4149  4 Ga 2.52-2.77, 2 Ir 2.59-2.76
Ga: 0.6763 0.1744 0.5851  4 Ga 2.52-2.77, 2 Ir 2.59-2.76
Ga: 0.0000 0.0000 0.0000  4 Ir 2.78, 8 Ga 2.89
Ga: 0.6006 0.0851 0.3256  4 Ga 2.52-2.77, 2 Ir 2.59-2.76
Ga: 0.4358 0.4149 0.8256  4 Ga 2.52-2.77, 2 Ir 2.59-2.76
Ir: 0.8750 0.2500 0.2500  10 Ga 2.59-2.78
Ga: 0.0737 0.9149 0.3256  4 Ga 2.52-2.77, 2 Ir 2.59-2.76
Pu: 0.2500 0.5000 0.5000  16 Ga 3.36-3.40
Ir: 0.8750 0.2500 0.7500  10 Ga 2.59-2.78
Ga: 0.3142 0.0851 0.6744  4 Ga 2.52-2.77, 2 Ir 2.59-2.76
Ga: 0.7386 0.5851 0.8256  4 Ga 2.52-2.77, 2 Ir 2.59-2.76
Ir: 0.8750 0.7500 0.2500  10 Ga 2.59-2.78
Ga: 0.7386 0.8256 0.5851  4 Ga 2.52-2.77, 2 Ir 2.59-2.76
Ir: 0.3750 0.7500 0.7500  10 Ga 2.59-2.78